# 1
A plane-wave DFT calculation with PBE-GGA was carried out for an optimized crystal structure of BaPd2Au2.

Geometry as POSCAR:
```
BaPd2Au2
1.0
8.088 0.000 0.000
0.000 8.088 0.000
0.000 0.000 3.242
Ba Pd Au
2 4 4
Cartesian
0.000 0.000 0.000
4.044 4.044 0.000
1.361 2.683 1.621
2.683 6.727 1.621
5.405 1.361 1.621
6.727 5.405 1.621
1.021 5.065 0.000
3.023 1.021 0.000
5.065 7.067 0.000
7.067 3.023 0.000
```

energy of formation: -0.265 eV per atom
DOS(E_F): 0.424 states/eV/atom
size of the total moment: 0.00 μB/f.u.
space group: No. 127

# 2
A plane-wave DFT calculation with PBE-GGA was carried out for an optimized crystal structure of Ac2PuNpO8.

Geometry as POSCAR:
```
Ac2PuNpO8
1.0
4.185 0.000 0.000
0.000 7.726 0.000
-0.659 0.000 5.704
Ac Pu Np O
2 1 1 8
Cartesian
0.000 1.917 0.000
0.000 5.808 0.000
1.763 3.863 2.852
1.763 0.000 2.852
0.139 3.863 1.557
0.167 0.000 1.628
1.389 1.814 4.114
1.389 5.912 4.114
2.137 1.814 1.590
2.137 5.912 1.590
3.359 0.000 4.076
3.387 3.863 4.147
```

DOS(E_F): 0.467 states/eV/atom
size of the total moment: 5.00 μB/f.u.
space group: No. 10
formation energy from raw total energies: -3.117 eV per atom

# 3
A plane-wave DFT calculation with PBE-GGA was carried out for an optimized crystal structure of Zr2FeC.

Geometry as POSCAR:
```
Zr2FeC
1.0
6.376 0.000 0.000
0.000 6.376 0.000
0.000 0.000 6.667
Zr Fe C
8 4 4
Cartesian
1.272 1.594 0.833
1.594 4.460 2.500
1.594 5.104 5.834
1.916 1.594 4.167
4.460 4.782 4.167
4.782 1.272 5.834
4.782 1.916 2.500
5.104 4.782 0.833
0.000 0.000 3.334
0.000 3.188 5.000
3.188 0.000 1.667
3.188 3.188 0.000
0.000 0.000 0.000
0.000 3.188 1.667
3.188 0.000 5.000
3.188 3.188 3.334
```

energy of formation: 0.263 eV per atom
DOS(E_F): 1.239 states/eV/atom
size of the total moment: 1.45 μB/f.u.
space group: No. 122

# 4
A plane-wave DFT calculation with PBE-GGA was carried out for an optimized crystal structure of Li2PrDy2Si2.

Geometry as POSCAR:
```
Li2PrDy2Si2
1.0
2.251 1.299 8.916
-2.251 1.299 8.916
0.000 -2.599 8.916
Li Pr Dy Si
2 1 2 2
Cartesian
0.000 0.000 2.484
0.000 0.000 24.264
0.000 0.000 13.374
0.000 0.000 9.928
0.000 0.000 16.820
0.000 0.000 6.479
0.000 0.000 20.269
```

DOS(E_F): 0.519 states/eV/atom
size of the total moment: 0.00 μB/f.u.
space group: No. 166
formation energy from raw total energies: -0.398 eV per atom

# 5
A plane-wave DFT calculation with PBE-GGA was carried out for an optimized crystal structure of Pm5PrSi2.

Geometry as POSCAR:
```
Pm5PrSi2
1.0
4.553 0.000 0.000
0.000 9.471 0.000
0.000 0.000 10.953
Pm Pr Si
10 2 4
Cartesian
0.000 0.000 0.000
0.000 2.959 3.707
0.000 2.959 7.247
0.000 6.512 3.707
0.000 6.512 7.247
2.277 1.777 1.770
2.277 1.777 9.183
2.277 4.735 5.477
2.277 7.694 1.770
2.277 7.694 9.183
0.000 4.735 0.000
2.277 0.000 5.477
0.000 0.000 3.149
0.000 0.000 7.805
2.277 4.735 2.328
2.277 4.735 8.626
```

DOS(E_F): 1.265 states/eV/atom
size of the total moment: 0.00 μB/f.u.
space group: No. 71
formation energy from raw total energies: -0.260 eV per atom

# 6
A plane-wave DFT calculation with PBE-GGA was carried out for an optimized crystal structure of BaMoPt2.

Geometry as POSCAR:
```
BaMoPt2
1.0
2.971 0.000 0.000
0.000 5.201 0.000
0.000 0.000 10.829
Ba Mo Pt
2 2 4
Cartesian
0.000 0.000 0.000
1.485 2.601 5.415
0.000 2.601 2.304
1.485 0.000 7.719
0.000 0.000 5.460
0.000 2.601 8.371
1.485 0.000 2.956
1.485 2.601 0.046
```

energy of formation: 0.316 eV per atom
DOS(E_F): 1.162 states/eV/atom
size of the total moment: 0.67 μB/f.u.
space group: No. 44

# 7
A plane-wave DFT calculation with PBE-GGA was carried out for an optimized crystal structure of Nd12Tl5Au2.

Geometry as POSCAR:
```
Nd12Tl5Au2
1.0
8.832 -3.731 0.000
8.832 3.731 0.000
-0.765 0.000 9.265
Nd Tl Au
12 5 2
Cartesian
-0.200 0.000 2.784
5.937 1.847 0.632
5.798 1.881 4.543
11.102 1.881 4.722
10.962 1.847 8.634
7.497 0.000 7.547
9.402 0.000 1.719
5.937 -1.847 0.632
5.798 -1.881 4.543
11.102 -1.881 4.722
10.962 -1.847 8.634
17.099 0.000 6.481
3.455 0.000 2.249
4.234 0.000 6.930
8.450 0.000 4.633
12.665 0.000 2.336
13.444 0.000 7.016
8.832 2.350 0.000
8.832 -2.350 0.000
```

energy of formation: -0.258 eV per atom
DOS(E_F): 1.137 states/eV/atom
size of the total moment: 0.00 μB/f.u.
space group: No. 12

# 8
A plane-wave DFT calculation with PBE-GGA was carried out for an optimized crystal structure of Ho3ScCo2.

Geometry as POSCAR:
```
Ho3ScCo2
1.0
-3.186 6.446 3.422
3.186 -6.446 3.422
3.186 6.446 -3.422
Ho Sc Co
6 2 4
Cartesian
3.186 -2.958 1.711
0.000 0.000 1.711
3.186 2.958 1.711
0.000 3.488 1.711
0.000 0.000 5.133
0.000 9.404 1.711
3.186 0.000 0.000
0.000 6.446 0.000
1.433 1.720 0.000
1.433 -1.720 3.422
1.753 8.166 0.000
1.753 4.727 3.422
```

energy of formation: -0.093 eV per atom
DOS(E_F): 0.854 states/eV/atom
size of the total moment: 0.00 μB/f.u.
space group: No. 72

# 9
A plane-wave DFT calculation with PBE-GGA was carried out for an optimized crystal structure of Nd3TlAu2.

Geometry as POSCAR:
```
Nd3TlAu2
1.0
3.715 0.000 0.000
0.000 3.715 0.000
0.000 0.000 11.768
Nd Tl Au
3 1 2
Cartesian
0.000 0.000 0.000
0.000 0.000 3.718
0.000 0.000 8.050
1.857 1.857 5.884
1.857 1.857 1.887
1.857 1.857 9.880
```

energy of formation: -0.635 eV per atom
DOS(E_F): 0.788 states/eV/atom
size of the total moment: 0.00 μB/f.u.
space group: No. 123

# 10
A plane-wave DFT calculation with PBE-GGA was carried out for an optimized crystal structure of NaDy2Pb.

Geometry as POSCAR:
```
NaDy2Pb
1.0
5.003 0.000 0.000
0.000 5.003 0.000
0.000 0.000 4.516
Na Dy Pb
1 2 1
Cartesian
0.000 0.000 0.000
0.000 2.501 2.258
2.501 0.000 2.258
2.501 2.501 0.000
```

energy of formation: -0.160 eV per atom
DOS(E_F): 0.678 states/eV/atom
size of the total moment: 0.43 μB/f.u.
space group: No. 123

- size of the total moment of number 8 (Ho3ScCo2)?
  0.00 μB/f.u.

- Look up the size of the total moment of the seventh one.
  0.00 μB/f.u.

- The highest DOS(E_F) belongs to which entry?
  Pm5PrSi2

- size of the total moment of number 8 (Ho3ScCo2)?
  0.00 μB/f.u.